Compound: DyNbW2C3
Source: the Open Quantum Materials Database
Functional: GGA-PBE
Structure: relaxed

POSCAR file:
```
DyNbW2C3
1.0
5.630 -1.610 0.000
5.630 1.610 0.000
-1.777 0.000 5.197
C Nb Dy W
3 1 1 2
Cartesian
11.180 0.000 0.101
1.517 0.000 3.891
8.082 0.000 1.331
4.023 0.000 0.768
5.369 0.000 4.281
1.131 0.000 1.761
8.409 0.000 3.458
```

Crystal system: monoclinic
Uncorrected energy, eV/atom: -10.02


Compound: DyNiC2
Source: the Open Quantum Materials Database
Functional: GGA-PBE
Structure: relaxed

POSCAR file:
```
DyNiC2
1.0
3.142 -1.663 0.437
1.280 1.588 -3.158
0.875 2.382 2.773
C Ni Dy
2 1 1
Cartesian
2.402 0.396 -1.088
3.055 1.598 -1.204
2.602 1.245 0.705
1.280 1.589 -3.153
```

Crystal system: orthorhombic
Uncorrected energy, eV/atom: -7.49


Compound: Dy4Ni13C4
Source: the Open Quantum Materials Database
Functional: GGA-PBE
Structure: relaxed

POSCAR file:
```
Dy4Ni13C4
1.0
-3.798 0.031 -0.728
1.389 4.355 -7.059
0.792 -7.097 -4.442
Ni C Dy
13 4 4
Cartesian
1.137 -5.299 -6.160
-0.584 2.956 -7.100
0.666 -4.707 -3.680
0.000 0.000 0.000
0.769 0.344 -3.996
0.640 -2.116 -3.434
1.413 -3.086 -7.505
-0.412 -4.904 -8.335
1.045 2.556 -5.340
1.515 1.965 -7.820
-1.033 -5.667 -5.129
1.541 -0.627 -8.067
-0.114 0.822 -9.644
1.487 -4.920 -7.971
0.967 -1.216 -5.100
1.214 -1.526 -6.401
1.785 0.806 -9.280
-1.489 -0.500 -2.525
-0.899 -3.089 -5.718
-0.718 0.378 -6.510
-0.128 -2.211 -9.704
```

Crystal system: orthorhombic
Uncorrected energy, eV/atom: -6.43


Compound: DyCO
Source: the Open Quantum Materials Database
Functional: GGA-PBE
Structure: relaxed

POSCAR file:
```
DyCO
1.0
-2.044 -3.406 -0.006
-3.113 -0.452 2.425
-3.680 -0.105 -1.491
O C Dy
1 1 1
Cartesian
0.000 0.000 0.000
-4.418 -1.981 0.464
-6.627 -2.972 0.696
```

Crystal system: cubic
Uncorrected energy, eV/atom: -6.51


Compound: Dy4PbC2O
Source: the Open Quantum Materials Database
Functional: GGA-PBE
Structure: relaxed

POSCAR file:
```
Dy4PbC2O
1.0
-1.917 -1.910 2.302
3.516 0.286 0.424
-1.882 11.417 7.902
Dy O C Pb
4 1 2 1
Cartesian
-0.473 1.048 3.216
-1.621 8.014 8.038
0.973 3.992 4.121
0.554 6.534 5.881
-1.047 4.531 5.627
-0.544 3.298 2.282
-1.339 8.120 5.620
1.705 -0.446 1.050
```

Crystal system: hexagonal
Uncorrected energy, eV/atom: -6.74


Compound: DyP3C3
Source: the Open Quantum Materials Database
Functional: GGA-PBE
Structure: relaxed

POSCAR file:
```
DyP3C3
1.0
3.418 0.000 0.000
-1.709 2.960 0.000
0.000 0.000 16.237
C P Dy
6 6 2
Cartesian
1.709 0.987 10.207
0.000 1.974 12.178
0.000 1.974 6.030
1.709 0.987 14.149
1.709 0.987 4.059
0.000 1.974 2.088
1.709 0.987 12.178
0.000 1.974 10.088
1.709 0.987 6.149
0.000 1.974 4.059
0.000 1.974 14.267
1.709 0.987 1.970
0.000 0.000 0.000
0.000 0.000 8.118
```

Crystal system: hexagonal
Uncorrected energy, eV/atom: -6.23


Compound: Dy4Pb2C
Source: the Open Quantum Materials Database
Functional: GGA-PBE
Structure: relaxed

POSCAR file:
```
Dy4Pb2C
1.0
-2.414 2.414 8.047
2.414 -2.414 8.047
2.414 2.414 -8.047
Dy C Pb
4 1 2
Cartesian
0.000 0.000 13.564
0.000 0.000 2.530
2.414 0.000 0.000
0.000 2.414 0.000
0.000 0.000 0.000
0.000 0.000 10.337
0.000 0.000 5.757
```

Crystal system: tetragonal
Uncorrected energy, eV/atom: -5.55


Compound: PrDy2PbC
Source: the Open Quantum Materials Database
Functional: GGA-PBE
Structure: relaxed

POSCAR file:
```
PrDy2PbC
1.0
-1.731 -1.477 -4.376
2.414 -4.273 0.488
-4.130 -2.067 2.331
Dy C Pb Pr
2 1 1 1
Cartesian
-0.858 -3.170 1.410
-2.930 -1.772 -1.022
-2.065 -1.033 1.166
0.342 -2.875 -1.944
0.000 0.000 0.000
```

Crystal system: tetragonal
Uncorrected energy, eV/atom: -5.85